[1]
Here is an optimized crystal structure of Nd8CoPt3Cl4 from the Alexandria database. Energies are from PBE.

## Properties
Energy relative to the elements, uncorrected (eV/atom): -1.21
Uncorrected energy (eV/atom): -5.6350

a = 8.3060 Å, b = 8.3060 Å, c = 22.3824 Å
α = 90.00°, β = 90.00°, γ = 120.00°
Space group R-3m (No. 166, hexagonal axes)
Inequivalent atoms, fractional coordinates:
Nd 0.0000 0.0000 0.2364 [6 per cell]
Nd 0.0140 0.5070 0.2348 [18 per cell]
Co 0.0000 0.0000 0.5000 [3 per cell]
Pt 0.0000 0.5000 0.5000 [9 per cell]
Cl 0.0000 0.0000 0.0000 [3 per cell]
Cl 0.0000 0.5000 0.0000 [9 per cell]



[2]
Here is an optimized crystal structure of Nd6Co2PtCl3 from the Alexandria database. Energies are from PBE.

## Properties
Energy relative to the elements, uncorrected (eV/atom): -1.00
Uncorrected energy (eV/atom): -5.5376

a = 7.013 Å, b = 12.169 Å, c = 7.862 Å
α = 90.00°, β = 107.17°, γ = 90.00°
Space group C2/m (No. 12)
Inequivalent atoms, fractional coordinates:
Nd 0.216 0.000 0.202 [4 per cell]
Nd 0.242 0.325 0.202 [8 per cell]
Co 0.000 0.166 0.000 [4 per cell]
Pt 0.000 0.500 0.000 [2 per cell]
Cl 0.000 0.000 0.500 [2 per cell]
Cl 0.000 0.328 0.500 [4 per cell]



[3]
Here is an optimized crystal structure of Nd8Co3PtCl4 from the Alexandria database. Energies are from PBE.

## Properties
Energy relative to the elements, uncorrected (eV/atom): -0.95
Uncorrected energy (eV/atom): -5.5096

a = 8.0662 Å, b = 8.0662 Å, c = 22.5176 Å
α = 90.00°, β = 90.00°, γ = 120.00°
Space group R-3m (No. 166, hexagonal axes)
Inequivalent atoms, fractional coordinates:
Nd 0.0000 0.0000 0.2340 [6 per cell]
Nd 0.0135 0.5067 0.7658 [18 per cell]
Co 0.0000 0.5000 0.5000 [9 per cell]
Pt 0.0000 0.0000 0.5000 [3 per cell]
Cl 0.0000 0.0000 0.0000 [3 per cell]
Cl 0.0000 0.5000 0.0000 [9 per cell]



[4]
Here is an optimized crystal structure of Nd8CoRh3Cl4 from the Alexandria database. Energies are from PBE.

## Properties
Energy relative to the elements, uncorrected (eV/atom): -1.09
Uncorrected energy (eV/atom): -5.7540

a = 14.054 Å, b = 8.117 Å, c = 8.914 Å
α = 90.00°, β = 121.77°, γ = 90.00°
Space group C2/m (No. 12)
Inequivalent atoms, fractional coordinates:
Nd 0.013 0.243 0.297 [8 per cell]
Nd 0.230 0.000 0.703 [4 per cell]
Nd 0.236 0.500 0.706 [4 per cell]
Co 0.000 0.000 0.500 [2 per cell]
Rh 0.000 0.500 0.500 [2 per cell]
Rh 0.250 0.250 0.500 [4 per cell]
Cl 0.000 0.000 0.000 [2 per cell]
Cl 0.000 0.500 0.000 [2 per cell]
Cl 0.250 0.250 0.000 [4 per cell]